*a*
KAg3I4 | PBE | relaxed

a b c (Å): 6.7090 6.7090 6.7090
angles (deg): 90.00 90.00 90.00
Fractional coordinates of all 8 atoms:
1 K 0.0000 0.0000 0.0000
2 Ag 0.5000 0.0000 0.0000
3 Ag 0.0000 0.5000 0.0000
4 Ag 0.0000 0.0000 0.5000
5 I 0.2713 0.7287 0.7287
6 I 0.7287 0.2713 0.7287
7 I 0.7287 0.7287 0.2713
8 I 0.2713 0.2713 0.2713

Values from the calculation:
SG ... P-43m, No. 215
N(E_F) ... 0.000 states/eV per atom

=====

*b*
KAg3I4 | PBE | relaxed

a b c (Å): 8.0642 8.3784 9.7818
angles (deg): 90.00 90.00 90.00
Fractional coordinates of all 16 atoms:
1 I 0.1534 0.3533 0.2785
2 I 0.6534 0.6467 0.2215
3 I 0.1459 0.7856 0.0000
4 I 0.5591 0.1545 0.0000
5 I 0.6459 0.2144 0.5000
6 I 0.0591 0.8455 0.5000
7 I 0.6534 0.6467 0.7785
8 I 0.1534 0.3533 0.7215
9 Ag 0.5080 0.3363 0.2486
10 Ag 0.0004 0.1846 0.5000
11 Ag 0.0080 0.6637 0.7486
12 Ag 0.5080 0.3363 0.7514
13 Ag 0.0080 0.6637 0.2514
14 Ag 0.5004 0.8154 0.0000
15 K 0.4868 0.8327 0.5000
16 K 0.9868 0.1673 0.0000

Values from the calculation:
SG ... Pmn2_1, No. 31
N(E_F) ... 0.000 states/eV per atom

=====

Which one sits at the top of the stability order? *b* does.

=====

*a*
KAg2I2 | PBE | relaxed

a b c (Å): 4.2374 4.2374 9.4004
angles (deg): 76.97 76.97 90.00
Fractional coordinates of all 5 atoms:
1 Ag 0.2500 0.7500 0.5000
2 Ag 0.7500 0.2500 0.5000
3 I 0.6125 0.6125 0.7749
4 I 0.3875 0.3875 0.2251
5 K 0.0000 0.0000 0.0000

Values from the calculation:
SG ... I4/mmm, No. 139
N(E_F) ... 0.467 states/eV per atom

=====

*b*
KAg2I2 | PBE | relaxed

a b c (Å): 5.6915 5.6915 6.5530
angles (deg): 64.26 64.26 90.00
Fractional coordinates of all 5 atoms:
1 I 0.2500 0.7500 0.5000
2 I 0.7500 0.2500 0.5000
3 K 0.0000 0.0000 0.0000
4 Ag 0.3676 0.3676 0.2649
5 Ag 0.6324 0.6324 0.7351

Values from the calculation:
SG ... I4/mmm, No. 139
N(E_F) ... 0.571 states/eV per atom

=====

Which one sits at the top of the stability order? *a* does.

=====

*a*
KAg2I | PBE | relaxed

a b c (Å): 9.2808 9.2808 7.2752
angles (deg): 50.37 50.37 90.00
Fractional coordinates of all 8 atoms:
1 I 0.0000 0.0000 0.0000
2 I 0.7500 0.2500 0.5000
3 K 0.2500 0.7500 0.5000
4 K 0.5000 0.5000 0.0000
5 Ag 0.3750 0.3295 0.7500
6 Ag 0.0795 0.6250 0.2500
7 Ag 0.6705 0.1250 0.2500
8 Ag 0.8750 0.9205 0.7500

Values from the calculation:
SG ... I-42d, No. 122
N(E_F) ... 0.249 states/eV per atom

=====

*b*
KAg2I | PBE | relaxed

a b c (Å): 5.4958 5.4958 5.4958
angles (deg): 60.00 60.00 60.00
Fractional coordinates of all 4 atoms:
1 I 0.5000 0.5000 0.5000
2 K 0.0000 0.0000 0.0000
3 Ag 0.2500 0.2500 0.2500
4 Ag 0.7500 0.7500 0.7500

Values from the calculation:
SG ... Fm-3m, No. 225
N(E_F) ... 0.328 states/eV per atom

=====

Which one sits at the top of the stability order? *a* does.